An optimized crystal structure of La2TlPd. Source: Alexandria via LeMat-Bulk, functional PBE.

a b c (Å): 4.1209 4.1209 25.7724
angles (deg): 90.00 90.00 120.00
Last column: nearest neighbours and their distance in Å.
Space group R-3m (No. 166, hexagonal axes)
Symmetry-distinct sites (fractional):
La: 0.0000 0.0000 0.2363 [6 per cell]  3 Pd 2.98
Tl: 0.0000 0.0000 0.0000 [3 per cell]  6 La 3.45
Pd: 0.0000 0.0000 0.5000 [3 per cell]  6 La 2.98

Results
The calculation puts the size of the total moment at 0.00 Bohr magnetons per cell. The calculation puts the mass density at 7.74 g/cm3. The total energy is -4.8532 eV/atom.